An optimized crystal structure of NiSnF3, computed with PBE+U.

a b c (Å): 4.140 4.140 4.140
angles (deg): 90.00 90.00 90.00
Atoms (fractional coordinates):
Ni 0.000 0.000 0.000
Sn 0.500 0.500 0.500
F 0.000 0.000 0.500
F 0.000 0.500 0.000
F 0.500 0.000 0.000

Results
Spin magnetization (μB per formula unit): 1.8
DOS(E_F) (states/eV/atom): 0.4697
Polymorph energy (0 for the lowest one) (meV/atom): 0